Entry from the Alexandria database: an optimized crystal structure of Ba3LaSi (PBE-GGA).

abc: 6.226 6.226 6.226
angles: 90.00 90.00 90.00
Element x y z (fractional)
Ba  0.000  0.000  0.500
Ba  0.000  0.500  0.000
Ba  0.500  0.000  0.000
La  0.000  0.000  0.000
Si  0.500  0.500  0.500

E: -11.5 eV for the cell shown
Crystal system: cubic
Formation energy (no corrections): 914 meV/atom
Fermi-level density of states: 1.827 states/eV per atom
Total magnetization: 0.80 μB per cell
Polymorph energy (0 for the lowest one): 686 meV per atom